Density functional theory data (PBE) for crystalline K2SrZr at its relaxed geometry.

Structure (POSCAR):
```
K2SrZr
1.0
-0.860 2.473 2.511
-3.501 -0.302 -0.902
-1.522 -9.902 9.230
K Sr Zr
2 1 1
direct
0.000 0.000 0.529
0.000 0.000 0.971
0.500 0.500 0.250
0.500 0.500 0.750
```

## Properties
Raw total energy (eV per atom): -2.34
ΔE to the lowest computed polymorph (meV per atom): 199
Energy relative to the elements (eV per atom): 0.76

=====

Density functional theory data (PBE) for crystalline K2SrZr at its relaxed geometry.

Structure (POSCAR):
```
K2SrZr
1.0
-3.931 2.917 -1.484
-3.221 -3.035 2.565
-1.926 8.172 12.352
K Sr Zr
4 2 2
direct
0.638 0.125 0.250
0.112 0.625 0.250
0.375 0.362 0.750
0.875 0.888 0.750
0.500 0.500 0.000
0.250 0.750 0.500
0.000 0.000 0.000
0.750 0.250 0.500
```

## Properties
Raw total energy (eV per atom): -2.19
ΔE to the lowest computed polymorph (meV per atom): 354
Energy relative to the elements (eV per atom): 0.92